No. 1
{"formula": "Mg2HgCl", "functional": "GGA-PBE", "state": "optimized geometry", "cell": [[-2.9312, -0.3257, 1.5300], [1.3833, -2.0568, 2.2124], [1.7193, 6.0950, 4.5911]], "species": ["Cl", "Hg", "Mg", "Mg"], "fractional_positions": [[0.5000, 0.5000, 0.2500], [0.5000, 0.5000, 0.7500], [0.0000, 0.0000, 0.9859], [0.0000, 0.0000, 0.5141]], "spacegroup": "No. 123", "dft_energy_ev_per_atom": -1.830, "crystal_system": "tetragonal", "volume_a3_per_atom": 21.59, "polymorph_energy_mev_per_atom": 136}


No. 2
{"formula": "MgHgCl2", "functional": "GGA-PBE", "state": "optimized geometry", "cell": [[-0.2188, 2.4881, 8.8858], [5.0568, 4.0671, 6.5638], [0.2101, 7.4016, 5.5108]], "species": ["Mg", "Hg", "Cl", "Cl"], "fractional_positions": [[0.0000, 0.0000, 0.0000], [0.5000, 0.5000, 0.5000], [0.9153, 0.9153, 0.9153], [0.0847, 0.0847, 0.0847]], "spacegroup": "No. 166", "dft_energy_ev_per_atom": -2.226, "crystal_system": "trigonal", "volume_a3_per_atom": 66.20, "polymorph_energy_mev_per_atom": 547}


No. 3
{"formula": "MgHgCl2", "functional": "GGA-PBE", "state": "optimized geometry", "cell": [[-3.1363, 2.4056, -0.5014], [0.2814, -3.8471, -0.9976], [-3.7515, -2.8338, 9.8699]], "species": ["Cl", "Cl", "Hg", "Mg"], "fractional_positions": [[0.0000, 0.0000, 0.8989], [0.0000, 0.0000, 0.6011], [0.5000, 0.5000, 0.2500], [0.5000, 0.5000, 0.7500]], "spacegroup": "No. 65", "dft_energy_ev_per_atom": -2.575, "crystal_system": "orthorhombic", "volume_a3_per_atom": 34.48, "polymorph_energy_mev_per_atom": 198}


No. 4
{"formula": "MgHgCl2", "functional": "GGA-PBE", "state": "optimized geometry", "cell": [[-3.4990, -1.5674, 0.4218], [2.3795, 0.6115, 2.9735], [-3.5252, 8.1761, 1.1395]], "species": ["Cl", "Cl", "Hg", "Mg"], "fractional_positions": [[0.0000, 0.0000, 0.9249], [0.5000, 0.5000, 0.3070], [0.0000, 0.0000, 0.5130], [0.5000, 0.5000, 0.7552]], "spacegroup": "No. 35", "dft_energy_ev_per_atom": -2.231, "crystal_system": "orthorhombic", "volume_a3_per_atom": 28.11, "polymorph_energy_mev_per_atom": 542}